Entry 1:
A plane-wave DFT calculation with PBE was carried out for an optimized crystal structure of Ac2CdGa4Pd3.

* calculated formation energy: -0.697 eV per atom
* N(E_F): 0.816 states/eV per atom

a = 4.460 Å, b = 4.460 Å, c = 10.868 Å
α = 90.00°, β = 90.00°, γ = 90.00°
Space group P-4m2 (No. 115)
Asymmetric unit:
Ac 0.000 0.500 0.240 x2
Cd 0.000 0.000 0.500 x1
Ga 0.000 0.000 0.000 x1
Ga 0.000 0.500 0.639 x2
Ga 0.500 0.500 0.000 x1
Pd 0.000 0.500 0.875 x2
Pd 0.500 0.500 0.500 x1

***

Entry 2:
A plane-wave DFT calculation with PBE was carried out for an optimized crystal structure of AcCdGa2Pd4.

* calculated formation energy: -0.617 eV per atom
* N(E_F): 0.575 states/eV per atom

a = 4.3677 Å, b = 4.3677 Å, c = 28.3538 Å
α = 90.00°, β = 90.00°, γ = 120.00°
Space group R-3m (No. 166, hexagonal axes)
Asymmetric unit:
Ac 0.0000 0.0000 0.0000 x3
Cd 0.0000 0.0000 0.5000 x3
Ga 0.0000 0.0000 0.2388 x6
Pd 0.0000 0.0000 0.1221 x6
Pd 0.0000 0.0000 0.4022 x6

***

V values (in Å³ per atom) by entry order: 21.62; 19.52.